[1]
DFT (PBE) results for crystalline EuCuHg at its relaxed geometry.

E_form = -190.3 meV/atom
Symmetry = I4mm (107)

Lattice parameters (Å, degrees): 3.657 3.657 5.835 108.26 108.26 90.00
Last column: magnetic moment on the atom in μB.
Fractional positions:
1 Eu 0.945 0.945 0.891  6.86
2 Cu 0.264 0.264 0.528  -0.01
3 Hg 0.641 0.641 0.282  0.01

[2]
DFT (PBE) results for crystalline CdInPtO4 at its relaxed geometry.

Symmetry = Imma (74)
ΔE_f (raw) = -0.94 eV/atom

Lattice parameters (Å, degrees): 6.670 6.512 6.601 120.46 90.00 120.81
Fractional positions:
1 In 0.500 0.000 0.500
2 In 0.500 0.000 0.000
3 O 0.745 0.489 0.699
4 O 0.742 0.041 0.270
5 O 0.745 0.489 0.290
6 O 0.258 0.959 0.730
7 O 0.255 0.511 0.710
8 O 0.701 0.959 0.730
9 O 0.255 0.511 0.301
10 O 0.299 0.041 0.270
11 Cd 0.121 0.242 0.871
12 Cd 0.879 0.758 0.129
13 Pt 0.500 0.500 0.500
14 Pt 0.000 0.500 0.500

[3]
DFT (PBE) results for crystalline TlCo2Sb at its relaxed geometry.

Excess energy over the best structure of this formula in the dataset = 0.273 eV/atom
Symmetry = I-4m2 (119)
ΔE_f (raw) = 0.52 eV/atom

Lattice parameters (Å, degrees): 5.483 5.483 5.483 140.05 140.05 57.77
Last column: magnetic moment on the atom in μB.
Fractional positions:
1 Co 0.250 0.750 0.500  0.80
2 Co 0.000 0.000 0.000  -0.45
3 Tl 0.750 0.250 0.500  -0.02
4 Sb 0.500 0.500 0.000  0.01

no.,N(E_F) (states/eV/cell),magnetic moment (μB per formula unit)
1,7.012,7.15
2,6.374,0.00
3,3.445,0.32